Entry from the Alexandria database: VPd3Pb after structural relaxation (PBE).

Lattice parameters (Å, degrees): 4.723 4.723 4.723 90.00 90.00 90.00
Site moments in Bohr magnetons follow the coordinates.
Element x y z (fractional)
Pd 0.000 0.500 0.000  0.03
Pb 0.500 0.500 0.500  -0.02
V 0.000 0.000 0.000  1.21
Pd 0.500 0.000 0.000  0.03
Pd 0.000 0.000 0.500  0.03

Properties
Energy relative to the elements = 0.468 eV/atom
E above lowest polymorph = 0.0 meV/atom